The following is a DFT calculation (meta-GGA SCAN) of SrMoIr at its PBEsol-relaxed geometry.

V (Å³/cell): 73.5
Formation energy (eV per formula unit): 0.36
Space-group type: No. 156

abc: 4.129 4.129 4.978
angles: 90.00 90.00 120.00
Fractional positions:
Sr (0.000, 0.000, 0.000)
Mo (0.667, 0.333, 0.481)
Ir (0.333, 0.667, 0.539)

---

The following is a DFT calculation (meta-GGA SCAN) of Sc2HPt at its PBEsol-relaxed geometry.

V (Å³/cell): 122.5
Calculated total energy (eV per atom): -26.369
Space-group type: No. 122

abc: 5.428 5.428 5.428
angles: 111.89 111.89 104.73
Fractional positions:
Sc (0.047, 0.125, 0.422)
Sc (0.375, 0.953, 0.078)
Sc (0.703, 0.625, 0.578)
Sc (0.875, 0.297, 0.922)
H (0.000, 0.000, 0.000)
H (0.750, 0.250, 0.500)
Pt (0.250, 0.750, 0.500)
Pt (0.500, 0.500, 0.000)

---

The following is a DFT calculation (meta-GGA SCAN) of Li2As at its PBEsol-relaxed geometry.

V (Å³/cell): 135.7
Formation energy (eV per formula unit): -2.17
Space-group type: No. 189

abc: 7.300 7.300 2.941
angles: 90.00 90.00 120.00
Fractional positions:
Li (0.000, 0.371, 0.000)
Li (0.000, 0.710, 0.500)
Li (0.290, 0.290, 0.500)
Li (0.371, 0.000, 0.000)
Li (0.629, 0.629, 0.000)
Li (0.710, 0.000, 0.500)
As (0.000, 0.000, 0.000)
As (0.333, 0.667, 0.500)
As (0.667, 0.333, 0.500)

---

The following is a DFT calculation (meta-GGA SCAN) of Rb3LiAu at its PBEsol-relaxed geometry.

V (Å³/cell): 289.5
Formation energy (eV per formula unit): -0.26
Space-group type: No. 221

abc: 6.616 6.616 6.616
angles: 90.00 90.00 90.00
Fractional positions:
Rb (0.000, 0.000, 0.500)
Rb (0.000, 0.500, 0.000)
Rb (0.500, 0.000, 0.000)
Li (0.500, 0.500, 0.500)
Au (0.000, 0.000, 0.000)

---

The following is a DFT calculation (meta-GGA SCAN) of LiBe3Au at its PBEsol-relaxed geometry.

V (Å³/cell): 56.6
Formation energy (eV per formula unit): 4.39
Space-group type: No. 221

abc: 3.840 3.840 3.840
angles: 90.00 90.00 90.00
Fractional positions:
Li (0.000, 0.000, 0.000)
Be (0.000, 0.000, 0.500)
Be (0.000, 0.500, 0.000)
Be (0.500, 0.000, 0.000)
Au (0.500, 0.500, 0.500)

---

The following is a DFT calculation (meta-GGA SCAN) of AlRhBr at its PBEsol-relaxed geometry.

V (Å³/cell): 55.2
ΔE_f (raw) (meV/atom): -30
Space-group type: No. 216

abc: 4.274 4.274 4.274
angles: 60.00 60.00 60.00
Fractional positions:
Al (0.000, 0.000, 0.000)
Rh (0.250, 0.250, 0.250)
Br (0.500, 0.500, 0.500)